# 1
Density functional theory data (SCAN) for a crystal of Mg3Bi relaxed with PBEsol.

Unit cell a=4.572 b=4.572 c=4.572 alpha=90.00 beta=90.00 gamma=90.00
Positions (direct):
Mg1 0.000 0.000 0.500
Mg2 0.000 0.500 0.000
Mg3 0.500 0.000 0.000
Bi1 0.500 0.500 0.500

Results
* formation energy: -0.15 eV/atom

# 2
Density functional theory data (SCAN) for a crystal of Mg3Bi relaxed with PBEsol.

Unit cell a=5.763 b=5.763 c=5.763 alpha=134.37 beta=134.37 gamma=66.52
Positions (direct):
Mg1 0.000 0.000 0.000
Mg2 0.250 0.750 0.500
Mg3 0.750 0.250 0.500
Bi1 0.500 0.500 0.000

Results
* formation energy: -0.13 eV/atom